DFT (PBE with a Hubbard U) results for a relaxed HgBMo2O8 crystal.

Values from the calculation:
The calculation puts the energy at -74.98 eV/cell. The symmetry is C2/m. The total magnetization comes out at 0.00 μB/cell.

a b c (Å): 5.1079 7.4117 6.7454
angles (deg): 69.70 67.75 69.84
Positions (direct):
Mo  0.6890  0.7536  0.8684
Mo  0.3110  0.2464  0.1316
O  0.8951  0.9101  0.8775
O  0.3241  0.4535  0.8983
O  0.8503  0.6790  0.6203
O  0.3173  0.9101  0.8775
O  0.6759  0.5465  0.1017
O  0.1049  0.0899  0.1225
O  0.1497  0.3210  0.3797
O  0.6827  0.0899  0.1225
B  0.0000  0.0000  0.0000
Hg  0.5000  0.5000  0.5000